#1
A relaxed structure of SrLi3Mn. Source: the Alexandria database, functional GGA-PBE.

The space group is Pm-3m (221).

Cell lengths 5.1549, 5.1549, 5.1549 Å; angles 90.00, 90.00, 90.00 degrees
Fractional positions:
Sr  0.5000  0.5000  0.5000
Mn  0.0000  0.0000  0.0000
Li  0.0000  0.5000  0.0000
Li  0.0000  0.0000  0.5000
Li  0.5000  0.0000  0.0000

---

#2
A relaxed structure of SrLi3Mn. Source: the Alexandria database, functional GGA-PBE.

The space group is Pm-3m (221).

Cell lengths 5.4726, 5.4726, 5.4726 Å; angles 90.00, 90.00, 90.00 degrees
Fractional positions:
Sr  0.0000  0.0000  0.0000
Mn  0.5000  0.5000  0.5000
Li  0.0000  0.5000  0.0000
Li  0.0000  0.0000  0.5000
Li  0.5000  0.0000  0.0000

---

The structure with the greatest stability is #1.

---

#1
A relaxed structure of Sr2Li2Mn. Source: the Alexandria database, functional GGA-PBE.

The space group is P4/mbm (127).

Cell lengths 8.9658, 8.9658, 4.3591 Å; angles 90.00, 90.00, 90.00 degrees
Fractional positions:
Sr  0.3346  0.8346  0.0000
Sr  0.8346  0.6654  0.0000
Sr  0.6654  0.1654  0.0000
Sr  0.1654  0.3346  0.0000
Mn  0.0000  0.0000  0.0000
Mn  0.5000  0.5000  0.0000
Li  0.1326  0.6326  0.5000
Li  0.6326  0.8674  0.5000
Li  0.8674  0.3674  0.5000
Li  0.3674  0.1326  0.5000

---

#2
A relaxed structure of Sr2Li2Mn. Source: the Alexandria database, functional GGA-PBE.

The space group is I4/mmm (139).

Cell lengths 3.9749, 3.9749, 10.3805 Å; angles 78.96, 78.96, 90.00 degrees
Fractional positions:
Sr  0.4024  0.4024  0.1952
Sr  0.5976  0.5976  0.8048
Mn  0.0000  0.0000  0.0000
Li  0.7500  0.2500  0.5000
Li  0.2500  0.7500  0.5000

---

The structure with the greatest stability is #2.

---

#1
A relaxed structure of LiTa2Mn. Source: the Alexandria database, functional GGA-PBE.

The space group is P4mm (99).

Cell lengths 2.7860, 2.7860, 8.7159 Å; angles 90.00, 90.00, 90.00 degrees
Fractional positions:
Li  0.0000  0.0000  0.5180
Mn  0.5000  0.5000  0.7532
Ta  0.0000  0.0000  0.9812
Ta  0.5000  0.5000  0.2477

---

#2
A relaxed structure of LiTa2Mn. Source: the Alexandria database, functional GGA-PBE.

The space group is Imm2 (44).

Cell lengths 5.2601, 5.2601, 5.2601 Å; angles 145.89, 130.99, 61.07 degrees
Fractional positions:
Li  0.4749  0.4749  0.0000
Mn  0.2426  0.7426  0.5000
Ta  0.0305  0.0305  0.0000
Ta  0.7520  0.2520  0.5000

---

The structure with the greatest stability is #2.

---

#1
A relaxed structure of LiTa2Mn. Source: the Alexandria database, functional GGA-PBE.

The space group is P4/mmm (123).

Cell lengths 4.3405, 4.3401, 3.0921 Å; angles 90.00, 90.00, 90.00 degrees
Fractional positions:
Li  0.5000  0.0000  0.5000
Mn  0.0000  0.5000  0.5000
Ta  0.0000  0.0000  0.0000
Ta  0.5000  0.5000  0.0000

---

#2
A relaxed structure of LiTa2Mn. Source: the Alexandria database, functional GGA-PBE.

The space group is I-42d (122).

Cell lengths 6.8577, 6.8577, 5.5594 Å; angles 51.92, 51.92, 90.00 degrees
Fractional positions:
Mn  0.0000  0.0000  0.0000
Mn  0.7500  0.2500  0.5000
Li  0.5000  0.5000  0.0000
Li  0.2500  0.7500  0.5000
Ta  0.6487  0.1250  0.2500
Ta  0.1013  0.6250  0.2500
Ta  0.3750  0.3513  0.7500
Ta  0.8750  0.8987  0.7500

---

#3
A relaxed structure of LiTa2Mn. Source: the Alexandria database, functional GGA-PBE.

The space group is R-3m (166).

Cell lengths 9.1168, 9.1168, 9.1168 Å; angles 18.51, 18.51, 18.51 degrees
Fractional positions:
Li  0.2500  0.2500  0.2500
Mn  0.7500  0.7500  0.7500
Ta  0.0113  0.0113  0.0113
Ta  0.4887  0.4887  0.4887

---

The structure with the greatest stability is #1.

---

#1
A relaxed structure of LiTa2Mn. Source: the Alexandria database, functional GGA-PBE.

The space group is I-4m2 (119).

Cell lengths 5.0604, 5.0604, 5.0604 Å; angles 136.99, 136.99, 62.46 degrees
Fractional positions:
Li  0.5000  0.5000  0.0000
Mn  0.7500  0.2500  0.5000
Ta  0.0000  0.0000  0.0000
Ta  0.2500  0.7500  0.5000

---

#2
A relaxed structure of LiTa2Mn. Source: the Alexandria database, functional GGA-PBE.

The space group is Cmm2 (35).

Cell lengths 2.7754, 2.7754, 9.2599 Å; angles 90.00, 90.00, 106.57 degrees
Fractional positions:
Li  0.0000  0.0000  0.5152
Mn  0.5000  0.5000  0.7607
Ta  0.0000  0.0000  0.9847
Ta  0.5000  0.5000  0.2394

---

#3
A relaxed structure of LiTa2Mn. Source: the Alexandria database, functional GGA-PBE.

The space group is Fm-3m (225).

Cell lengths 4.3581, 4.3581, 4.3581 Å; angles 60.00, 60.00, 60.00 degrees
Fractional positions:
Mn  0.5000  0.5000  0.5000
Li  0.0000  0.0000  0.0000
Ta  0.2500  0.2500  0.2500
Ta  0.7500  0.7500  0.7500

---

#4
A relaxed structure of LiTa2Mn. Source: the Alexandria database, functional GGA-PBE.

The space group is Pm (6).

Cell lengths 4.4127, 2.7459, 5.0557 Å; angles 80.51, 90.00, 90.00 degrees
Fractional positions:
Li  0.0000  0.5814  0.4929
Mn  0.5000  0.7067  0.7738
Ta  0.0000  0.9636  0.9635
Ta  0.5000  0.2483  0.2698

---

The structure with the greatest stability is #3.

---

#1
A relaxed structure of LiTa2Mn. Source: the Alexandria database, functional GGA-PBE.

The space group is Cmmm (65).

Cell lengths 2.7832, 2.7832, 9.0981 Å; angles 90.00, 90.00, 111.01 degrees
Fractional positions:
Li  0.5000  0.5000  0.2500
Mn  0.5000  0.5000  0.7500
Ta  0.0000  0.0000  0.9682
Ta  0.0000  0.0000  0.5318

---

#2
A relaxed structure of LiTa2Mn. Source: the Alexandria database, functional GGA-PBE.

The space group is R3m (160).

Cell lengths 9.9302, 9.9302, 9.9302 Å; angles 16.51, 16.51, 16.51 degrees
Fractional positions:
Li  0.4957  0.4957  0.4957
Mn  0.7481  0.7481  0.7481
Ta  0.0056  0.0056  0.0056
Ta  0.2506  0.2506  0.2506

---

The structure with the greatest stability is #1.

---

#1
A relaxed structure of LiTa2Mn. Source: the Alexandria database, functional GGA-PBE.

The space group is P4mm (99).

Cell lengths 3.1811, 3.1811, 6.0919 Å; angles 90.00, 90.00, 90.00 degrees
Fractional positions:
Li  0.0000  0.0000  0.5240
Mn  0.5000  0.5000  0.7441
Ta  0.0000  0.0000  0.9721
Ta  0.5000  0.5000  0.2597

---

#2
A relaxed structure of LiTa2Mn. Source: the Alexandria database, functional GGA-PBE.

The space group is F-43m (216).

Cell lengths 4.4455, 4.4455, 4.4455 Å; angles 60.00, 60.00, 60.00 degrees
Fractional positions:
Li  0.5000  0.5000  0.5000
Mn  0.2500  0.2500  0.2500
Ta  0.0000  0.0000  0.0000
Ta  0.7500  0.7500  0.7500

---

#3
A relaxed structure of LiTa2Mn. Source: the Alexandria database, functional GGA-PBE.

The space group is C2/m (12).

Cell lengths 5.5880, 4.9870, 2.7378 Å; angles 81.78, 76.42, 119.72 degrees
Fractional positions:
Li  0.0000  0.5000  0.5000
Mn  0.5000  0.5000  0.0000
Ta  0.0000  0.0000  0.0000
Ta  0.5000  0.0000  0.5000

---

#4
A relaxed structure of LiTa2Mn. Source: the Alexandria database, functional GGA-PBE.

The space group is P2/m (10).

Cell lengths 3.9669, 2.7799, 5.8157 Å; angles 74.57, 90.00, 90.00 degrees
Fractional positions:
Li  0.5000  0.2500  0.2500
Mn  0.5000  0.7500  0.7500
Ta  0.0000  0.9599  0.9794
Ta  0.0000  0.5401  0.5206

---

The structure with the greatest stability is #1.

---

#1
A relaxed structure of Li2TaMn. Source: the Alexandria database, functional GGA-PBE.

The space group is P4mm (99).

Cell lengths 2.7769, 2.7769, 8.7915 Å; angles 90.00, 90.00, 90.00 degrees
Fractional positions:
Li  0.0000  0.0000  0.0008
Li  0.5000  0.5000  0.2687
Mn  0.0000  0.0000  0.5049
Ta  0.5000  0.5000  0.7256

---

#2
A relaxed structure of Li2TaMn. Source: the Alexandria database, functional GGA-PBE.

The space group is P4/mmm (123).

Cell lengths 3.4921, 3.4921, 4.7998 Å; angles 90.00, 90.00, 90.00 degrees
Fractional positions:
Li  0.0000  0.0000  0.0000
Li  0.5000  0.5000  0.0000
Mn  0.5000  0.0000  0.5000
Ta  0.0000  0.5000  0.5000

---

The structure with the greatest stability is #1.